<P>
VASP calculation (PBE-GGA) on a relaxed structure of Ta3VW.

Structure (extended XYZ):
```
5
Lattice="-1.3406 -3.4024 -2.7583 4.2845 -0.4195 -1.5648 0.9097 -3.0380 3.3053" Properties=species:S:1:pos:R:3 pbc="T T T"
Ta 2.1422 -0.2098 -0.7824
Ta 0.4548 -1.5190 1.6526
Ta -0.6703 -1.7012 -1.3791
W 1.9268 -3.4300 -0.5089
V 0.0000 0.0000 0.0000
```

Results
* calculated density: 13.44 g cm⁻³


<Q>
VASP calculation (PBE-GGA) on a relaxed structure of Ta3VW.

Structure (extended XYZ):
```
10
Lattice="-1.6271 -3.6198 -2.2676 5.2209 -1.9705 -0.6005 -0.6066 -1.1790 6.9240" Properties=species:S:1:pos:R:3 pbc="T T T"
Ta 1.6702 -6.2353 4.1484
Ta 1.3170 -0.5340 -0.0925
Ta -0.8798 -2.4655 4.5670
Ta 3.8671 -4.3038 -0.5111
Ta 2.8130 -2.4828 1.9449
Ta 0.1743 -4.2865 2.1109
V 1.3037 -3.2686 -0.3244
V 1.6836 -3.5007 4.3802
W 2.7554 -5.2742 1.8354
W 0.2318 -1.4952 2.2204
```

Results
* calculated density: 15.23 g cm⁻³


Of them, <P> has the lowest stability.


<P>
VASP calculation (PBE-GGA) on a relaxed structure of Ta6VW.

Structure (extended XYZ):
```
8
Lattice="-4.0250 1.9398 -1.1186 -2.7419 -3.5675 -5.8052 -4.6470 -5.3250 -1.9976" Properties=species:S:1:pos:R:3 pbc="T T T"
Ta -8.1224 -3.8035 -5.8206
Ta -8.9986 -6.6255 -7.5614
Ta -4.8702 -0.7820 -2.7980
Ta -2.4153 -0.3272 -1.3600
Ta -3.2915 -3.1491 -3.1008
Ta -6.5437 -6.1707 -6.1233
V -5.7070 -3.4763 -4.4607
W 0.0000 0.0000 0.0000
```

Results
* calculated density: 15.70 g cm⁻³


<Q>
VASP calculation (PBE-GGA) on a relaxed structure of Ta6VW.

Structure (extended XYZ):
```
8
Lattice="-2.9702 3.4375 0.8165 -4.3269 -3.4620 -1.1650 1.1682 -0.3048 5.5324" Properties=species:S:1:pos:R:3 pbc="T T T"
Ta -1.5878 1.1718 2.3373
Ta -3.1673 -0.7117 4.5211
Ta -1.4779 -1.3379 0.2564
Ta -3.0547 -3.2182 2.4366
Ta -0.8767 -1.4797 3.0401
Ta -3.6560 -3.0765 -0.3473
V -1.0037 1.0194 5.1037
W -3.7513 -0.5593 1.7548
```

Results
* calculated density: 15.67 g cm⁻³


Of them, <Q> has the lowest stability.


<P>
VASP calculation (PBE-GGA) on a relaxed structure of TaV2W4.

Structure (extended XYZ):
```
7
Lattice="-0.6455 3.0891 -0.7707 -0.6964 -0.8806 -2.9462 -10.1154 -3.0015 3.2880" Properties=species:S:1:pos:R:3 pbc="T T T"
Ta -0.3228 1.5445 -0.3854
V -6.7108 0.2611 -0.1789
V -4.7464 -1.0542 -0.2501
W -9.5414 -0.1340 0.6082
W -3.4097 1.1136 0.4730
W -1.9158 -0.6591 -1.0372
W -7.3512 -1.0261 2.0442
```

Results
* calculated density: 15.10 g cm⁻³


<Q>
VASP calculation (PBE-GGA) on a relaxed structure of TaV2W4.

Structure (extended XYZ):
```
7
Lattice="-2.3068 2.0567 4.3815 -2.7501 -0.3330 -4.5907 1.0355 -5.0961 1.3061" Properties=species:S:1:pos:R:3 pbc="T T T"
Ta -2.5285 0.8619 -0.1046
V -2.1216 -2.2836 -1.6946
V -1.8999 -1.0888 2.7915
W -0.5845 -1.6576 0.4703
W -1.3581 -3.5072 3.9314
W -2.6634 0.1347 -2.8345
W -3.4370 -1.7148 0.6266
```

Results
* calculated density: 14.64 g cm⁻³


Of them, <Q> has the lowest stability.


<P>
VASP calculation (PBE-GGA) on a relaxed structure of TaV6W.

Structure (extended XYZ):
```
8
Lattice="5.3241 -0.7694 -0.8703 -1.3463 5.2083 -0.8703 -1.3463 -1.5023 5.0623" Properties=species:S:1:pos:R:3 pbc="T T T"
Ta 0.0000 0.0000 0.0000
V -0.0044 3.3195 0.4051
V -0.0044 -0.0049 3.3442
V 2.6360 -0.3830 2.9166
V -0.6686 2.5784 2.9166
V 2.6360 2.9415 -0.0225
V 3.3002 0.3581 0.4051
W 1.3158 1.4683 1.6608
```

Results
* calculated density: 9.32 g cm⁻³


<Q>
VASP calculation (PBE-GGA) on a relaxed structure of TaV6W.

Structure (extended XYZ):
```
8
Lattice="-3.0412 3.0531 -0.3530 -0.6569 -1.2482 -5.1370 -3.3019 -2.9462 2.9658" Properties=species:S:1:pos:R:3 pbc="T T T"
Ta -3.8224 -0.7776 -0.2745
V -1.2858 -1.2231 0.4996
V -3.3401 -3.3995 -0.6271
V -1.6466 -1.8836 -2.1051
V -2.1818 0.6867 -1.7438
V -4.1511 -1.3998 -2.8239
V -2.5176 0.0600 -4.2717
W -2.9731 -2.7350 1.9584
```

Results
* calculated density: 9.61 g cm⁻³


Of them, <P> has the lowest stability.


<P>
VASP calculation (PBE-GGA) on a relaxed structure of Ta2VW6.

Structure (extended XYZ):
```
9
Lattice="-1.6031 0.9789 4.3834 -7.7607 0.5361 -2.9579 3.7663 -4.2326 1.0595" Properties=species:S:1:pos:R:3 pbc="T T T"
Ta -4.9946 -0.4398 1.3161
Ta -0.6029 -2.2778 1.1688
V 0.0000 0.0000 0.0000
W -2.8470 -0.9812 -0.3751
W -0.0716 -1.9214 3.8811
W -2.7504 -1.7364 2.8601
W -2.1003 0.5792 1.6967
W -5.5258 -0.7961 -1.3961
W -7.2635 0.9359 -0.2712
```

Results
* calculated density: 16.62 g cm⁻³


<Q>
VASP calculation (PBE-GGA) on a relaxed structure of Ta2VW6.

Structure (extended XYZ):
```
9
Lattice="4.4066 -0.1703 -0.9676 0.0346 5.4535 -0.7901 -0.8172 1.9389 6.4852" Properties=species:S:1:pos:R:3 pbc="T T T"
Ta 3.3190 3.9781 3.9001
Ta 0.3050 3.2439 0.8274
V 0.0000 0.0000 0.0000
W 2.7782 5.3078 1.1950
W 0.8458 1.9142 3.5325
W 0.8426 4.7208 3.0211
W 2.2175 1.2842 -0.6588
W 1.4064 5.9378 5.3862
W 2.7814 2.5012 1.7064
```

Results
* calculated density: 15.92 g cm⁻³


Of them, <Q> has the lowest stability.


<P>
VASP calculation (PBE-GGA) on a relaxed structure of Ta2VW2.

Structure (extended XYZ):
```
5
Lattice="-2.1384 2.3976 -0.3962 -0.3114 0.2656 3.2883 5.8414 5.5038 1.7783" Properties=species:S:1:pos:R:3 pbc="T T T"
Ta -0.0551 2.3793 1.4722
Ta 3.4466 5.7877 3.1982
V 0.0000 0.0000 0.0000
W 3.5801 3.4785 1.7277
W 1.9499 2.2908 3.3389
```

Results
* calculated density: 15.01 g cm⁻³


<Q>
VASP calculation (PBE-GGA) on a relaxed structure of Ta2VW2.

Structure (extended XYZ):
```
10
Lattice="-2.0565 -0.4501 -4.2532 6.3155 0.0926 -3.0634 -1.8471 -5.1034 4.0808" Properties=species:S:1:pos:R:3 pbc="T T T"
Ta 2.4833 -2.8031 -0.9040
Ta -0.0713 -2.6578 -2.3318
Ta -0.6955 -2.4569 0.5963
Ta 3.1074 -3.0039 -3.8322
V 1.6154 -0.2913 -4.7216
V 2.6436 -0.0662 -2.5950
W 1.3915 -4.7805 -2.8145
W 1.0204 -0.6804 -0.4214
W 4.3412 -0.8417 -4.6575
W -1.9293 -4.6192 1.4217
```

Results
* calculated density: 14.66 g cm⁻³


Of them, <P> has the lowest stability.


<P>
VASP calculation (PBE-GGA) on a relaxed structure of ZrTaV2W.

Structure (extended XYZ):
```
5
Lattice="4.4006 0.0000 0.0000 0.0000 4.9897 0.0000 0.0000 0.0000 4.4006" Properties=species:S:1:pos:R:3 pbc="T T T"
V 0.0000 0.0000 2.2003
V 2.2003 0.0000 0.0000
Zr 0.0000 0.0000 0.0000
W 2.2003 2.4948 2.2003
Ta 0.0000 2.4948 0.0000
```

Results
* calculated density: 9.59 g cm⁻³


<Q>
VASP calculation (PBE-GGA) on a relaxed structure of ZrTaV2W.

Structure (extended XYZ):
```
5
Lattice="-1.6882 3.8795 1.4880 -1.7935 -2.3655 4.1325 3.8426 0.8466 2.1523" Properties=species:S:1:pos:R:3 pbc="T T T"
V 1.9213 0.4233 1.0761
V -0.8441 1.9398 0.7440
Zr -0.8967 -1.1827 2.0663
W 0.1805 1.1803 3.8864
Ta 0.0000 0.0000 0.0000
```

Results
* calculated density: 9.05 g cm⁻³


Of them, <P> has the lowest stability.


<P>
VASP calculation (PBE-GGA) on a relaxed structure of Y2TaV.

Structure (extended XYZ):
```
4
Lattice="4.7428 -1.3488 1.3770 0.8206 -2.1719 4.5628 1.2719 -4.9507 0.2867" Properties=species:S:1:pos:R:3 pbc="T T T"
Y 1.7088 -2.1179 1.5566
Y 5.1265 -6.3536 4.6699
Ta 3.4177 -4.2357 3.1133
V 0.0000 0.0000 0.0000
```

Results
* calculated density: 7.17 g cm⁻³


<Q>
VASP calculation (PBE-GGA) on a relaxed structure of Y2TaV.

Structure (extended XYZ):
```
8
Lattice="7.9955 0.0000 0.0000 0.0000 7.9955 0.0000 3.9977 3.9977 3.0095" Properties=species:S:1:pos:R:3 pbc="T T T"
Y 5.7991 1.9989 0.7524
Y 2.1963 5.9966 0.7524
Y 5.9966 6.1940 2.2571
Y 9.9943 9.7969 2.2571
Ta 0.0000 0.0000 0.0000
Ta 7.9955 3.9977 1.5048
V 3.9977 3.9977 0.0000
V 3.9977 7.9955 1.5048
```

Results
* calculated density: 7.07 g cm⁻³


Of them, <Q> has the lowest stability.